1.
# Sr6BiP2Br3 PBE relaxed
# Size of the total moment   0.00 μB/cell
data_Sr6BiP2Br3
_symmetry_space_group_name_H-M 'C 1 2/m 1'
_symmetry_Int_Tables_number 12
_cell_length_a 20.223
_cell_length_b 4.591
_cell_length_c 9.233
_cell_angle_alpha 90.00
_cell_angle_beta 102.96
_cell_angle_gamma 90.00
loop_
_symmetry_equiv_pos_as_xyz
'x,y,z'
'-x,-y,-z'
'-x,y,-z'
'x,-y,z'
'x+1/2,y+1/2,z'
'-x+1/2,-y+1/2,-z'
'-x+1/2,y+1/2,-z'
'x+1/2,-y+1/2,z'
loop_
_atom_site_label
_atom_site_type_symbol
_atom_site_fract_x
_atom_site_fract_y
_atom_site_fract_z
_atom_site_occupancy
Sr1 Sr 0.016 0.000 0.252 1
Sr2 Sr 0.166 0.500 0.122 1
Sr3 Sr 0.179 0.500 0.563 1
Bi1 Bi 0.000 0.500 0.000 1
P1 P 0.169 0.000 0.342 1
Br1 Br 0.000 0.500 0.500 1
Br2 Br 0.170 0.000 0.834 1



2.
# VBiP2Br PBE relaxed
# Size of the total moment   1.18 μB/cell
data_VBiP2Br
_symmetry_space_group_name_H-M 'P 4/m m m'
_symmetry_Int_Tables_number 123
_symmetry_space_group_name_Hall '-P 4 2'
_cell_length_a 4.603
_cell_length_b 4.603
_cell_length_c 5.286
_cell_angle_alpha 90.00
_cell_angle_beta 90.00
_cell_angle_gamma 90.00
loop_
_atom_site_label
_atom_site_type_symbol
_atom_site_fract_x
_atom_site_fract_y
_atom_site_fract_z
_atom_site_occupancy
V1 V 0.000 0.000 0.000 1
Bi1 Bi 0.500 0.500 0.500 1
P1 P 0.000 0.500 0.000 1
Br1 Br 0.000 0.000 0.500 1



What E_form (uncorrected) values result from the calculations? In sequence: -1.48, 0.24 eV/atom.